#one
Below is a crystal of AlTlAs2 relaxed with PBEsol, with properties calculated at the SCAN level.

Cell and atoms, written as CIF:
```
data_AlTlAs2
_chemical_formula_sum 'Al1 Tl1 As2'
_space_group_name_H-M_alt 'P 1'
_space_group_IT_number 1
_space_group_name_Hall 'P 1'
_cell_length_a 3.760
_cell_length_b 3.999
_cell_length_c 6.148
_cell_angle_alpha 90.00
_cell_angle_beta 90.00
_cell_angle_gamma 90.00
loop_
_atom_site_label
_atom_site_fract_x
_atom_site_fract_y
_atom_site_fract_z
Al1 0.000 0.000 0.000
Tl1 0.000 0.500 0.416
As1 0.500 0.000 0.700
As2 0.500 0.500 0.989
```

* total moment: 0.00 μB/f.u.


#two
Below is a crystal of AlTlAs2 relaxed with PBEsol, with properties calculated at the SCAN level.

Cell and atoms, written as CIF:
```
data_AlTlAs2
_chemical_formula_sum 'Al2 Tl2 As4'
_space_group_name_H-M_alt 'P 1'
_space_group_IT_number 1
_space_group_name_Hall 'P 1'
_cell_length_a 7.259
_cell_length_b 7.259
_cell_length_c 7.259
_cell_angle_alpha 131.68
_cell_angle_beta 131.68
_cell_angle_gamma 70.73
loop_
_atom_site_label
_atom_site_fract_x
_atom_site_fract_y
_atom_site_fract_z
Al1 0.000 0.000 0.000
Al2 0.750 0.250 0.500
Tl1 0.250 0.750 0.500
Tl2 0.500 0.500 0.000
As1 0.092 0.625 0.967
As2 0.375 0.342 0.467
As3 0.658 0.125 0.033
As4 0.875 0.908 0.533
```

* total moment: 0.00 μB/f.u.


Of them, #one has the lowest stability.


#one
Below is a crystal of AlTlAs2 relaxed with PBEsol, with properties calculated at the SCAN level.

Cell and atoms, written as CIF:
```
data_AlTlAs2
_chemical_formula_sum 'Al1 Tl1 As2'
_space_group_name_H-M_alt 'P 1'
_space_group_IT_number 1
_space_group_name_Hall 'P 1'
_cell_length_a 5.838
_cell_length_b 5.838
_cell_length_c 5.838
_cell_angle_alpha 147.68
_cell_angle_beta 128.51
_cell_angle_gamma 62.11
loop_
_atom_site_label
_atom_site_fract_x
_atom_site_fract_y
_atom_site_fract_z
Al1 0.000 0.000 0.000
Tl1 0.500 0.500 0.000
As1 0.208 0.708 0.500
As2 0.792 0.292 0.500
```

* total moment: 0.00 μB/f.u.


#two
Below is a crystal of AlTlAs2 relaxed with PBEsol, with properties calculated at the SCAN level.

Cell and atoms, written as CIF:
```
data_AlTlAs2
_chemical_formula_sum 'Al1 Tl1 As2'
_space_group_name_H-M_alt 'P 1'
_space_group_IT_number 1
_space_group_name_Hall 'P 1'
_cell_length_a 3.906
_cell_length_b 3.906
_cell_length_c 6.922
_cell_angle_alpha 105.60
_cell_angle_beta 105.60
_cell_angle_gamma 58.71
loop_
_atom_site_label
_atom_site_fract_x
_atom_site_fract_y
_atom_site_fract_z
Al1 0.000 0.000 0.000
Tl1 0.500 0.500 0.500
As1 0.263 0.263 0.798
As2 0.737 0.737 0.202
```

* total moment: 0.00 μB/f.u.


#three
Below is a crystal of AlTlAs2 relaxed with PBEsol, with properties calculated at the SCAN level.

Cell and atoms, written as CIF:
```
data_AlTlAs2
_chemical_formula_sum 'Al1 Tl1 As2'
_space_group_name_H-M_alt 'P 1'
_space_group_IT_number 1
_space_group_name_Hall 'P 1'
_cell_length_a 5.179
_cell_length_b 5.179
_cell_length_c 3.078
_cell_angle_alpha 90.00
_cell_angle_beta 90.00
_cell_angle_gamma 90.00
loop_
_atom_site_label
_atom_site_fract_x
_atom_site_fract_y
_atom_site_fract_z
Al1 0.000 0.000 0.000
Tl1 0.500 0.500 0.000
As1 0.000 0.500 0.500
As2 0.500 0.000 0.500
```

* total moment: 0.00 μB/f.u.


Of them, #three has the lowest stability.


#one
Below is a crystal of AlAsW2 relaxed with PBEsol, with properties calculated at the SCAN level.

Cell and atoms, written as CIF:
```
data_AlAsW2
_chemical_formula_sum 'Al1 As1 W2'
_space_group_name_H-M_alt 'P 1'
_space_group_IT_number 1
_space_group_name_Hall 'P 1'
_cell_length_a 3.225
_cell_length_b 4.188
_cell_length_c 4.528
_cell_angle_alpha 90.00
_cell_angle_beta 90.00
_cell_angle_gamma 90.00
loop_
_atom_site_label
_atom_site_fract_x
_atom_site_fract_y
_atom_site_fract_z
Al1 0.000 0.000 0.000
As1 0.500 0.000 0.500
W1 0.000 0.500 0.500
W2 0.500 0.500 0.000
```

* total moment: 0.00 μB/f.u.


#two
Below is a crystal of AlAsW2 relaxed with PBEsol, with properties calculated at the SCAN level.

Cell and atoms, written as CIF:
```
data_AlAsW2
_chemical_formula_sum 'Al1 As1 W2'
_space_group_name_H-M_alt 'P 1'
_space_group_IT_number 1
_space_group_name_Hall 'P 1'
_cell_length_a 3.858
_cell_length_b 3.858
_cell_length_c 4.107
_cell_angle_alpha 90.00
_cell_angle_beta 90.00
_cell_angle_gamma 90.00
loop_
_atom_site_label
_atom_site_fract_x
_atom_site_fract_y
_atom_site_fract_z
Al1 0.000 0.000 0.000
As1 0.500 0.500 0.000
W1 0.000 0.500 0.500
W2 0.500 0.000 0.500
```

* total moment: 0.00 μB/f.u.


Of them, #two has the lowest stability.


#one
Below is a crystal of AlAsW2 relaxed with PBEsol, with properties calculated at the SCAN level.

Cell and atoms, written as CIF:
```
data_AlAsW2
_chemical_formula_sum 'Al1 As1 W2'
_space_group_name_H-M_alt 'P 1'
_space_group_IT_number 1
_space_group_name_Hall 'P 1'
_cell_length_a 4.756
_cell_length_b 4.756
_cell_length_c 4.527
_cell_angle_alpha 105.32
_cell_angle_beta 105.32
_cell_angle_gamma 37.80
loop_
_atom_site_label
_atom_site_fract_x
_atom_site_fract_y
_atom_site_fract_z
Al1 0.000 0.000 0.000
As1 0.249 0.249 0.681
W1 0.506 0.506 0.507
W2 0.746 0.746 0.177
```

* total moment: 0.00 μB/f.u.


#two
Below is a crystal of AlAsW2 relaxed with PBEsol, with properties calculated at the SCAN level.

Cell and atoms, written as CIF:
```
data_AlAsW2
_chemical_formula_sum 'Al1 As1 W2'
_space_group_name_H-M_alt 'P 1'
_space_group_IT_number 1
_space_group_name_Hall 'P 1'
_cell_length_a 4.727
_cell_length_b 4.727
_cell_length_c 4.547
_cell_angle_alpha 96.23
_cell_angle_beta 96.23
_cell_angle_gamma 38.00
loop_
_atom_site_label
_atom_site_fract_x
_atom_site_fract_y
_atom_site_fract_z
Al1 0.000 0.000 0.000
As1 0.500 0.500 0.500
W1 0.251 0.251 0.752
W2 0.749 0.749 0.248
```

* total moment: 0.00 μB/f.u.


Of them, #two has the lowest stability.


#one
Below is a crystal of Zr2AlAs relaxed with PBEsol, with properties calculated at the SCAN level.

Cell and atoms, written as CIF:
```
data_Zr2AlAs
_chemical_formula_sum 'Zr2 Al1 As1'
_space_group_name_H-M_alt 'P 1'
_space_group_IT_number 1
_space_group_name_Hall 'P 1'
_cell_length_a 5.018
_cell_length_b 5.018
_cell_length_c 5.018
_cell_angle_alpha 129.33
_cell_angle_beta 129.33
_cell_angle_gamma 74.48
loop_
_atom_site_label
_atom_site_fract_x
_atom_site_fract_y
_atom_site_fract_z
Zr1 0.250 0.750 0.500
Zr2 0.750 0.250 0.500
Al1 0.000 0.000 0.000
As1 0.500 0.500 0.000
```

* total moment: 0.00 μB/f.u.


#two
Below is a crystal of Zr2AlAs relaxed with PBEsol, with properties calculated at the SCAN level.

Cell and atoms, written as CIF:
```
data_Zr2AlAs
_chemical_formula_sum 'Zr2 Al1 As1'
_space_group_name_H-M_alt 'P 1'
_space_group_IT_number 1
_space_group_name_Hall 'P 1'
_cell_length_a 4.865
_cell_length_b 4.865
_cell_length_c 3.301
_cell_angle_alpha 96.24
_cell_angle_beta 96.24
_cell_angle_gamma 103.50
loop_
_atom_site_label
_atom_site_fract_x
_atom_site_fract_y
_atom_site_fract_z
Zr1 0.000 0.500 0.000
Zr2 0.500 0.000 0.000
Al1 0.000 0.000 0.500
As1 0.500 0.500 0.500
```

* total moment: 0.00 μB/f.u.


#three
Below is a crystal of Zr2AlAs relaxed with PBEsol, with properties calculated at the SCAN level.

Cell and atoms, written as CIF:
```
data_Zr2AlAs
_chemical_formula_sum 'Zr2 Al1 As1'
_space_group_name_H-M_alt 'P 1'
_space_group_IT_number 1
_space_group_name_Hall 'P 1'
_cell_length_a 3.874
_cell_length_b 5.406
_cell_length_c 5.406
_cell_angle_alpha 40.58
_cell_angle_beta 90.00
_cell_angle_gamma 90.00
loop_
_atom_site_label
_atom_site_fract_x
_atom_site_fract_y
_atom_site_fract_z
Zr1 0.000 0.000 0.000
Zr2 0.500 0.294 0.294
Al1 0.000 0.733 0.733
As1 0.500 0.568 0.568
```

* total moment: 0.00 μB/f.u.


#four
Below is a crystal of Zr2AlAs relaxed with PBEsol, with properties calculated at the SCAN level.

Cell and atoms, written as CIF:
```
data_Zr2AlAs
_chemical_formula_sum 'Zr2 Al1 As1'
_space_group_name_H-M_alt 'P 1'
_space_group_IT_number 1
_space_group_name_Hall 'P 1'
_cell_length_a 7.169
_cell_length_b 7.169
_cell_length_c 7.169
_cell_angle_alpha 29.84
_cell_angle_beta 29.84
_cell_angle_gamma 29.84
loop_
_atom_site_label
_atom_site_fract_x
_atom_site_fract_y
_atom_site_fract_z
Zr1 0.245 0.245 0.245
Zr2 0.755 0.755 0.755
Al1 0.000 0.000 0.000
As1 0.500 0.500 0.500
```

* total moment: 0.00 μB/f.u.


Of them, #one has the lowest stability.


#one
Below is a crystal of AlAu4 relaxed with PBEsol, with properties calculated at the SCAN level.

Cell and atoms, written as CIF:
```
data_AlAu4
_chemical_formula_sum 'Al1 Au4'
_space_group_name_H-M_alt 'P 1'
_space_group_IT_number 1
_space_group_name_Hall 'P 1'
_cell_length_a 4.990
_cell_length_b 4.990
_cell_length_c 4.990
_cell_angle_alpha 109.47
_cell_angle_beta 109.47
_cell_angle_gamma 109.47
loop_
_atom_site_label
_atom_site_fract_x
_atom_site_fract_y
_atom_site_fract_z
Al1 0.000 0.000 0.000
Au1 0.000 0.000 0.500
Au2 0.000 0.500 0.000
Au3 0.500 0.000 0.000
Au4 0.500 0.500 0.500
```

* total moment: 0.00 μB/f.u.


#two
Below is a crystal of AlAu4 relaxed with PBEsol, with properties calculated at the SCAN level.

Cell and atoms, written as CIF:
```
data_AlAu4
_chemical_formula_sum 'Al4 Au16'
_space_group_name_H-M_alt 'P 1'
_space_group_IT_number 1
_space_group_name_Hall 'P 1'
_cell_length_a 6.911
_cell_length_b 6.911
_cell_length_c 6.911
_cell_angle_alpha 90.00
_cell_angle_beta 90.00
_cell_angle_gamma 90.00
loop_
_atom_site_label
_atom_site_fract_x
_atom_site_fract_y
_atom_site_fract_z
Al1 0.063 0.063 0.063
Al2 0.437 0.937 0.563
Al3 0.563 0.437 0.937
Al4 0.937 0.563 0.437
Au1 0.050 0.884 0.713
Au2 0.116 0.213 0.450
Au3 0.183 0.817 0.317
Au4 0.213 0.450 0.116
Au5 0.287 0.550 0.616
Au6 0.317 0.183 0.817
Au7 0.384 0.787 0.950
Au8 0.450 0.116 0.213
Au9 0.550 0.616 0.287
Au10 0.616 0.287 0.550
Au11 0.683 0.683 0.683
Au12 0.713 0.050 0.884
Au13 0.787 0.950 0.384
Au14 0.817 0.317 0.183
Au15 0.884 0.713 0.050
Au16 0.950 0.384 0.787
```

* total moment: 0.00 μB/f.u.


#three
Below is a crystal of AlAu4 relaxed with PBEsol, with properties calculated at the SCAN level.

Cell and atoms, written as CIF:
```
data_AlAu4
_chemical_formula_sum 'Al1 Au4'
_space_group_name_H-M_alt 'P 1'
_space_group_IT_number 1
_space_group_name_Hall 'P 1'
_cell_length_a 5.071
_cell_length_b 5.071
_cell_length_c 5.071
_cell_angle_alpha 97.58
_cell_angle_beta 97.58
_cell_angle_gamma 137.41
loop_
_atom_site_label
_atom_site_fract_x
_atom_site_fract_y
_atom_site_fract_z
Al1 0.000 0.000 0.000
Au1 0.213 0.591 0.804
Au2 0.409 0.213 0.621
Au3 0.591 0.787 0.379
Au4 0.787 0.409 0.196
```

* total moment: 0.00 μB/f.u.


Of them, #one has the lowest stability.